{
  "formula": "BaPtBr2",
  "functional": "GGA-PBE",
  "state": "relaxed",
  "energy_ev_per_atom": -3.6101,
  "raw_formation_energy_ev_per_atom": -0.783,
  "crystal_system": "monoclinic",
  "e_above_lowest_polymorph_mev_per_atom": 266,
  "dos_ef_per_ev_atom": 0.15,
  "lattice_angstrom": [[4.344, 0.000, 0.000], [0.000, 4.348, 0.012], [0.000, 1.815, 6.176]],
  "species": ["Br", "Br", "Ba", "Pt"],
  "fractional_positions": [[0.000, 0.129, 0.027], [0.000, 0.371, 0.473], [0.500, 0.750, 0.750], [0.500, 0.250, 0.250]]
}